# 1
This record from OQMD via LeMat-Bulk describes a relaxed structure of NbIrOs2. The functional is PBE.

POSCAR file:
```
NbIrOs2
1.0
0.0000 3.1446 3.1446
3.1446 0.0000 3.1446
3.1446 3.1446 0.0000
Nb Ir Os
1 1 2
Direct
0.0000 0.0000 0.0000
0.2500 0.2500 0.2500
0.5000 0.5000 0.5000
0.7500 0.7500 0.7500
```

Values from the calculation:
For the uncorrected energy, the calculation gives -40.02 eV for the cell shown. For the spin magnetization, the calculation gives 0.6 μB per cell. The energy of formation comes out at 344 meV per atom.


# 2
This record from OQMD via LeMat-Bulk describes a relaxed structure of Pm3Mg4Pt4. The functional is PBE.

POSCAR file:
```
Pm3Mg4Pt4
1.0
-2.0165 3.9923 7.4139
2.0165 -3.9923 7.4139
2.0165 3.9923 -7.4139
Pm Mg Pt
3 4 4
Direct
0.0000 0.0000 0.0000
0.3850 0.8850 0.5000
0.6150 0.1150 0.5000
0.0176 0.3256 0.6920
0.3664 0.6744 0.6920
0.6336 0.3256 0.3080
0.9824 0.6744 0.3080
0.2327 0.2327 0.0000
0.2971 0.5000 0.7971
0.7029 0.5000 0.2029
0.7673 0.7673 0.0000
```

Values from the calculation:
For the uncorrected energy, the calculation gives -54.42 eV for the cell shown. For the spin magnetization, the calculation gives 0.0 μB per cell.


# 3
This record from OQMD via LeMat-Bulk describes a relaxed structure of Sm2Ho2CI2Br3. The functional is PBE.

POSCAR file:
```
Sm2Ho2CI2Br3
1.0
9.1236 -1.9443 0.0000
9.1236 1.9443 0.0000
-1.7433 0.0000 8.1117
Sm Ho C I Br
2 2 1 2 3
Direct
0.1385 0.1385 0.0660
0.8615 0.8615 0.9340
0.4981 0.4981 0.1965
0.5019 0.5019 0.8035
0.0000 0.0000 0.0000
0.3351 0.3351 0.6396
0.6649 0.6649 0.3604
0.0000 0.0000 0.5000
0.3342 0.3342 0.1829
0.6658 0.6658 0.8171
```

Values from the calculation:
The energy above the most stable polymorph in this dataset comes out at 21 meV per atom. For the uncorrected energy, the calculation gives -48.70 eV for the cell shown. For the spin magnetization, the calculation gives 0.0 μB per cell.


# 4
This record from OQMD via LeMat-Bulk describes a relaxed structure of HfInCoCu. The functional is PBE.

POSCAR file:
```
HfInCoCu
1.0
0.0000 3.1736 3.1736
3.1736 0.0000 3.1736
3.1736 3.1736 0.0000
Hf In Co Cu
1 1 1 1
Direct
0.0000 0.0000 0.0000
0.2500 0.2500 0.2500
0.5000 0.5000 0.5000
0.7500 0.7500 0.7500
```

Values from the calculation:
The energy above the most stable polymorph in this dataset comes out at 294 meV per atom. For the uncorrected energy, the calculation gives -23.07 eV for the cell shown. For the spin magnetization, the calculation gives 0.0 μB per cell.


# 5
This record from OQMD via LeMat-Bulk describes a relaxed structure of ZrU. The functional is PBE.

POSCAR file:
```
ZrU
1.0
6.0844 0.0000 0.0000
0.0000 5.0806 0.0000
-0.5383 0.0000 8.5342
Zr U
6 6
Direct
0.0910 0.2500 0.0868
0.2478 0.2500 0.7524
0.4054 0.7500 0.9274
0.5946 0.2500 0.0726
0.7522 0.7500 0.2476
0.9090 0.7500 0.9132
0.0629 0.7500 0.5659
0.2611 0.7500 0.3060
0.3802 0.2500 0.4037
0.6198 0.7500 0.5963
0.7389 0.2500 0.6940
0.9371 0.2500 0.4341
```

Values from the calculation:
The energy above the most stable polymorph in this dataset comes out at 27 meV per atom. For the uncorrected energy, the calculation gives -117.36 eV for the cell shown. For the spin magnetization, the calculation gives 0.2 μB per cell. The energy of formation comes out at 142 meV per atom.


# 6
This record from OQMD via LeMat-Bulk describes a relaxed structure of MgNbInCo. The functional is PBE.

POSCAR file:
```
MgNbInCo
1.0
0.0000 3.2508 3.2508
3.2508 0.0000 3.2508
3.2508 3.2508 0.0000
Mg Nb In Co
1 1 1 1
Direct
0.0000 0.0000 0.0000
0.2500 0.2500 0.2500
0.5000 0.5000 0.5000
0.7500 0.7500 0.7500
```

Values from the calculation:
The energy above the most stable polymorph in this dataset comes out at 208 meV per atom. For the uncorrected energy, the calculation gives -20.03 eV for the cell shown. For the spin magnetization, the calculation gives 1.8 μB per cell.


# 7
This record from OQMD via LeMat-Bulk describes a relaxed structure of CsInCoS3. The functional is PBE.

POSCAR file:
```
CsInCoS3
1.0
1.9337 -7.6622 0.0000
1.9337 7.6622 0.0000
0.0000 0.0000 10.6901
Cs In Co S
2 2 2 6
Direct
0.2382 0.7618 0.7500
0.7618 0.2382 0.2500
0.5000 0.5000 0.0000
0.5000 0.5000 0.5000
0.0361 0.9639 0.2500
0.9639 0.0361 0.7500
0.1088 0.8912 0.0648
0.1088 0.8912 0.4352
0.4520 0.5480 0.2500
0.5480 0.4520 0.7500
0.8912 0.1088 0.5648
0.8912 0.1088 0.9352
```

Values from the calculation:
For the uncorrected energy, the calculation gives -53.49 eV for the cell shown. For the spin magnetization, the calculation gives 6.0 μB per cell.


# 8
This record from OQMD via LeMat-Bulk describes a relaxed structure of DyPaMo. The functional is PBE.

POSCAR file:
```
DyPaMo
1.0
0.0000 3.3997 3.3997
3.3997 0.0000 3.3997
3.3997 3.3997 0.0000
Dy Pa Mo
1 1 1
Direct
0.0000 0.0000 0.0000
0.5000 0.5000 0.5000
0.2500 0.2500 0.2500
```

Values from the calculation:
The energy above the most stable polymorph in this dataset comes out at 0 meV per atom. For the uncorrected energy, the calculation gives -23.52 eV for the cell shown. For the spin magnetization, the calculation gives 0.0 μB per cell. The energy of formation comes out at 474 meV per atom.